No. 1
This record from Alexandria via LeMat-Bulk describes B5C7 after structural relaxation. The functional is GGA-PBE.

Output
Polymorph energy (0 for the lowest one): 1.855 eV/f.u.
Space-group type: No. 6
DOS(E_F): 1.328 states/eV/f.u.
DFT formation energy: 0.413 eV per atom

```
B5C7
1.0
-0.8915 0.2360 -2.4950
-4.3617 -1.3021 1.4353
-0.0501 6.1398 0.5986
B C
5 7
Direct
0.5000 0.7883 0.3175 B
0.5000 0.5556 0.0093 B
0.0000 0.6932 0.6746 B
0.0000 0.2855 0.3177 B
0.0000 0.0483 0.9830 B
0.5000 0.4213 0.2347 C
0.5000 0.2023 0.9394 C
0.0000 0.3313 0.5921 C
0.0000 0.9212 0.2187 C
0.0000 0.7092 0.9628 C
0.5000 0.1917 0.6638 C
0.5000 0.8521 0.5864 C
```

***

No. 2
This record from Alexandria via LeMat-Bulk describes BeHg2Mo after structural relaxation. The functional is GGA-PBE.

Output
Space-group type: No. 44
DOS(E_F): 2.357 states/eV/f.u.
DFT formation energy: 0.608 eV per atom

```
BeHg2Mo
1.0
-3.4839 -4.4269 0.3019
-0.9051 -2.5711 4.9393
-0.3123 4.6136 -3.2317
Be Mo Hg
1 1 2
Direct
0.2617 0.7617 0.5000 Be
0.4640 0.4640 0.0000 Mo
0.0290 0.0290 0.0000 Hg
0.7453 0.2453 0.5000 Hg
```

***

No. 3
This record from Alexandria via LeMat-Bulk describes BeTl3Pb after structural relaxation. The functional is GGA-PBE.

Output
Polymorph energy (0 for the lowest one): 0.000 eV/f.u.
Space-group type: No. 221
DOS(E_F): 4.104 states/eV/f.u.
DFT formation energy: 0.330 eV per atom

```
BeTl3Pb
1.0
-3.9820 -2.9546 1.3840
1.1856 -3.3448 -3.7294
3.0397 -2.5660 3.2677
Pb Be Tl
1 1 3
Direct
0.5000 0.5000 0.5000 Pb
0.0000 0.0000 0.0000 Be
0.0000 0.5000 0.0000 Tl
0.0000 0.0000 0.5000 Tl
0.5000 0.0000 0.0000 Tl
```

***

No. 4
This record from Alexandria via LeMat-Bulk describes ScPaBi2 after structural relaxation. The functional is GGA-PBE.

Output
Polymorph energy (0 for the lowest one): 0.124 eV/f.u.
Space-group type: No. 225
DOS(E_F): 4.074 states/eV/f.u.
DFT formation energy: -0.248 eV per atom

```
ScPaBi2
1.0
-3.8420 3.7023 -0.3733
-2.4562 1.7595 4.4134
0.8966 4.9712 1.7580
Sc Pa Bi
1 1 2
Direct
0.5000 0.5000 0.5000 Sc
0.0000 0.0000 0.0000 Pa
0.2500 0.2500 0.2500 Bi
0.7500 0.7500 0.7500 Bi
```

***

No. 5
This record from Alexandria via LeMat-Bulk describes TbPr2Pa after structural relaxation. The functional is GGA-PBE.

Output
Polymorph energy (0 for the lowest one): 0.575 eV/f.u.
Space-group type: No. 166
DOS(E_F): 5.686 states/eV/f.u.
DFT formation energy: 0.326 eV per atom

```
TbPr2Pa
1.0
3.3992 0.0000 0.0000
1.6996 2.9438 0.0000
1.6996 0.9813 12.5664
Pr Pa Tb
2 1 1
Direct
0.0860 0.0860 0.7420 Pr
0.9140 0.9140 0.2580 Pr
0.0000 0.0000 0.0000 Pa
0.5000 0.5000 0.5000 Tb
```

***

No. 6
This record from Alexandria via LeMat-Bulk describes TmZn6Ir2 after structural relaxation. The functional is GGA-PBE.

Output
Space-group type: No. 71
DOS(E_F): 3.731 states/eV/f.u.
DFT formation energy: -0.197 eV per atom

```
TmZn6Ir2
1.0
-1.2000 -0.6512 -4.1698
-6.9974 0.2817 -0.3386
-4.5140 5.0543 -1.7986
Tm Zn Ir
1 6 2
Direct
0.0000 0.0000 0.0000 Tm
0.7009 0.0504 0.5478 Zn
0.2991 0.9496 0.4522 Zn
0.2991 0.4522 0.9496 Zn
0.5000 0.7095 0.2905 Zn
0.5000 0.2905 0.7095 Zn
0.7009 0.5478 0.0504 Zn
0.8867 0.6133 0.6133 Ir
0.1133 0.3867 0.3867 Ir
```

***

No. 7
This record from Alexandria via LeMat-Bulk describes LaTc2BiTe after structural relaxation. The functional is GGA-PBE.

Output
Energy relative to the elements, uncorrected: 1582 meV per atom
Space-group type: No. 123
DOS(E_F): 5.664 states/eV/f.u.

```
LaTc2BiTe
1.0
4.9070 0.0000 0.0000
0.0000 6.3978 0.0000
0.0000 0.0000 4.9070
Tc Te Bi La
2 1 1 1
Direct
0.0000 0.0000 0.5000 Tc
0.5000 0.0000 0.0000 Tc
0.5000 0.5000 0.5000 Te
0.0000 0.5000 0.0000 Bi
0.0000 0.0000 0.0000 La
```

***

No. 8
This record from Alexandria via LeMat-Bulk describes Be2CdSi after structural relaxation. The functional is GGA-PBE.

Output
Energy relative to the elements, uncorrected: 620 meV per atom
Polymorph energy (0 for the lowest one): 0.856 eV/f.u.
Space-group type: No. 71
DOS(E_F): 1.643 states/eV/f.u.

```
Be2CdSi
1.0
-3.9747 2.0816 2.5586
-3.7836 -3.5137 -0.1247
4.6201 1.5999 1.6650
Be Si Cd
2 1 1
Direct
0.0178 0.0178 0.0000 Be
0.4822 0.4822 0.0000 Be
0.2500 0.7500 0.5000 Si
0.7500 0.2500 0.5000 Cd
```